1.
VASP calculation (PBE) on an optimized crystal structure of Tb5Dy2Ho4.

Properties
- Symmetry: P-1, No. 2
- Energy of formation: 0.19 eV per formula unit
- Distance to the lowest polymorph of the same formula: 0 kJ/mol of formula units
- Magnetization: 0.0000 μB per atom
- Crystal system: triclinic
- VASP energy: -4.59 eV/atom

The structure in CIF format:
```
data_Tb5Dy2Ho4
_cell_length_a 3.531
_cell_length_b 9.357
_cell_length_c 11.731
_cell_angle_alpha 106.38
_cell_angle_beta 81.41
_cell_angle_gamma 112.18
_space_group_name_H-M_alt 'P 1'
_space_group_IT_number 1
_space_group_name_Hall 'P 1'
loop_
_atom_site_label
_atom_site_type_symbol
_atom_site_fract_x
_atom_site_fract_y
_atom_site_fract_z
_atom_site_occupancy
Tb1 Tb 0.410 0.183 0.546 1
Tb2 Tb 0.045 0.909 0.727 1
Tb3 Tb 0.590 0.817 0.454 1
Tb4 Tb 0.500 0.000 0.000 1
Tb5 Tb 0.955 0.091 0.273 1
Ho1 Ho 0.319 0.364 0.091 1
Ho2 Ho 0.227 0.545 0.636 1
Ho3 Ho 0.773 0.455 0.364 1
Ho4 Ho 0.681 0.636 0.909 1
Dy1 Dy 0.136 0.726 0.181 1
Dy2 Dy 0.864 0.274 0.819 1
```

=====

2.
VASP calculation (PBE) on an optimized crystal structure of Sr2TcTe.

Properties
- Symmetry: R-3m, No. 166
- Magnetization: 0.7668 μB per atom
- Crystal system: trigonal
- E_form (uncorrected): 0.1151 eV/atom
- VASP energy: -4.10 eV/atom

The structure in CIF format:
```
data_Sr2TcTe
_cell_length_a 8.667
_cell_length_b 8.667
_cell_length_c 8.667
_cell_angle_alpha 29.66
_cell_angle_beta 29.66
_cell_angle_gamma 29.66
_space_group_name_H-M_alt 'P 1'
_space_group_IT_number 1
_space_group_name_Hall 'P 1'
loop_
_atom_site_label
_atom_site_type_symbol
_atom_site_fract_x
_atom_site_fract_y
_atom_site_fract_z
_atom_site_occupancy
Tc1 Tc 0.250 0.250 0.250 1
Sr1 Sr 0.001 0.001 0.001 1
Sr2 Sr 0.499 0.499 0.499 1
Te1 Te 0.750 0.750 0.750 1
```

=====

3.
VASP calculation (PBE) on an optimized crystal structure of TaV2Mo6.

Properties
- Symmetry: P-1, No. 2
- Energy of formation: -0.87 eV per formula unit
- Distance to the lowest polymorph of the same formula: 0 kJ/mol of formula units
- Magnetization: 0.0000 μB per atom
- Crystal system: triclinic
- VASP energy: -10.66 eV/atom

The structure in CIF format:
```
data_TaV2Mo6
_cell_length_a 2.741
_cell_length_b 7.674
_cell_length_c 7.715
_cell_angle_alpha 80.46
_cell_angle_beta 90.45
_cell_angle_gamma 61.68
_space_group_name_H-M_alt 'P 1'
_space_group_IT_number 1
_space_group_name_Hall 'P 1'
loop_
_atom_site_label
_atom_site_type_symbol
_atom_site_fract_x
_atom_site_fract_y
_atom_site_fract_z
_atom_site_occupancy
Mo1 Mo 0.219 0.334 0.774 1
Mo2 Mo 0.438 0.672 0.554 1
Mo3 Mo 0.562 0.328 0.446 1
Mo4 Mo 0.108 0.667 0.885 1
Mo5 Mo 0.781 0.666 0.226 1
Mo6 Mo 0.892 0.333 0.115 1
Ta1 Ta 0.000 0.000 0.000 1
V1 V 0.336 0.000 0.661 1
V2 V 0.664 0.000 0.339 1
```

=====

4.
VASP calculation (PBE) on an optimized crystal structure of Rb4TlCd5.

Properties
- Symmetry: I4mm, No. 107
- Energy of formation: 0.05 eV per formula unit
- Magnetization: 0.0000 μB per atom
- Crystal system: tetragonal
- VASP energy: -1.08 eV/atom

The structure in CIF format:
```
data_Rb4TlCd5
_cell_length_a 6.760
_cell_length_b 8.722
_cell_length_c 8.722
_cell_angle_alpha 81.36
_cell_angle_beta 67.20
_cell_angle_gamma 67.20
_space_group_name_H-M_alt 'P 1'
_space_group_IT_number 1
_space_group_name_Hall 'P 1'
loop_
_atom_site_label
_atom_site_type_symbol
_atom_site_fract_x
_atom_site_fract_y
_atom_site_fract_z
_atom_site_occupancy
Rb1 Rb 0.452 0.704 0.296 1
Rb2 Rb 0.452 0.296 0.704 1
Rb3 Rb 0.156 0.296 0.296 1
Rb4 Rb 0.748 0.704 0.704 1
Cd1 Cd 0.789 0.000 0.309 1
Cd2 Cd 0.678 0.000 0.000 1
Cd3 Cd 0.098 0.691 0.000 1
Cd4 Cd 0.098 0.000 0.691 1
Cd5 Cd 0.789 0.309 0.000 1
Tl1 Tl 0.231 0.000 0.000 1
```

=====

5.
VASP calculation (PBE) on an optimized crystal structure of Sr2ZrPdW.

Properties
- Symmetry: P4/mmm, No. 123
- Energy of formation: 6.90 eV per formula unit
- Magnetization: 0.1330 μB per atom
- Crystal system: tetragonal
- VASP energy: -4.63 eV/atom

The structure in CIF format:
```
data_Sr2ZrPdW
_cell_length_a 6.101
_cell_length_b 4.723
_cell_length_c 6.101
_cell_angle_alpha 90.00
_cell_angle_beta 90.00
_cell_angle_gamma 90.00
_space_group_name_H-M_alt 'P 1'
_space_group_IT_number 1
_space_group_name_Hall 'P 1'
loop_
_atom_site_label
_atom_site_type_symbol
_atom_site_fract_x
_atom_site_fract_y
_atom_site_fract_z
_atom_site_occupancy
Zr1 Zr 0.000 0.000 0.000 1
Pd1 Pd 0.500 0.500 0.500 1
Sr1 Sr 0.500 0.000 0.000 1
Sr2 Sr 0.000 0.000 0.500 1
W1 W 0.000 0.500 0.000 1
```

=====

6.
VASP calculation (PBE) on an optimized crystal structure of CrIrSe.

Properties
- Symmetry: Imm2, No. 44
- Distance to the lowest polymorph of the same formula: 79 kJ/mol of formula units
- Magnetization: 0.9994 μB per atom
- Crystal system: orthorhombic
- E_form (uncorrected): 0.3699 eV/atom
- VASP energy: -6.95 eV/atom

The structure in CIF format:
```
data_CrIrSe
_cell_length_a 4.696
_cell_length_b 4.696
_cell_length_c 4.696
_cell_angle_alpha 141.78
_cell_angle_beta 132.43
_cell_angle_gamma 62.59
_space_group_name_H-M_alt 'P 1'
_space_group_IT_number 1
_space_group_name_Hall 'P 1'
loop_
_atom_site_label
_atom_site_type_symbol
_atom_site_fract_x
_atom_site_fract_y
_atom_site_fract_z
_atom_site_occupancy
Ir1 Ir 0.346 0.346 0.000 1
Cr1 Cr 0.992 0.992 0.000 1
Se1 Se 0.662 0.662 0.000 1
```